A plane-wave DFT calculation with PBE+U was carried out for NiMoNF2 after structural relaxation.

Values from the calculation:
* Fermi-level density of states: 2.84 states/eV/cell
* distance to the lowest polymorph of the same formula: 183.5 meV per atom

The structure in CIF format:
```
data_NiMoNF2
_chemical_formula_sum 'Ni1 Mo1 N1 F2'
_symmetry_space_group_name_H-M 'P 1'
_symmetry_Int_Tables_number 1
_cell_length_a 3.743
_cell_length_b 3.743
_cell_length_c 4.341
_cell_angle_alpha 90.00
_cell_angle_beta 90.00
_cell_angle_gamma 90.00
loop_
_symmetry_equiv_pos_as_xyz
'x,y,z'
loop_
_atom_site_label
_atom_site_type_symbol
_atom_site_fract_x
_atom_site_fract_y
_atom_site_fract_z
F1 F 0.000 0.500 0.000
F2 F 0.500 0.000 0.000
Mo1 Mo 0.500 0.500 0.500
N1 N 0.000 0.000 0.500
Ni1 Ni 0.000 0.000 0.000
```